A geometry-optimized VSe2BrO structure. Source: Alexandria via LeMat-Bulk, functional PBE+U.

Lattice parameters (Å, degrees): 4.744 4.744 5.176 90.00 90.00 90.00
Site moments in Bohr magnetons follow the coordinates.
Positions (direct):
1 O 0.500 0.500 0.500  -1.28
2 V 0.000 0.000 0.000  -0.19
3 Se 0.000 0.500 0.000  0.02
4 Se 0.500 0.000 0.000  0.02
5 Br 0.000 0.000 0.500  -0.09

Results
- E: -3.507 eV per atom
- N(E_F): 5.15 states/eV/cell
- Relative energy among the computed polymorphs: 0.3517 eV/atom
- M_tot: 1.868 μB/cell